# 1
# U2TaMoC4

A geometry-optimized U2TaMoC4 structure (GGA-PBE, the Alexandria database).

Results
Energy (eV/cell): -84.836
Total magnetic moment (μB per atom): 0.0316
SG: P2/m, No. 10
Energy of formation from the pure elements (eV/atom): -0.335

Cell lengths 5.6197, 3.2579, 5.8255 Å; angles 90.00, 108.77, 90.00 degrees
Last column: nearest neighbours and their distance in Å.
Fractional coordinates of all 8 atoms:
U 0.0000 0.0000 0.0000  6 C 2.41-2.42
U 0.5000 0.5000 0.0000  6 C 2.41
Ta 0.0000 0.5000 0.5000  6 C 2.25
Mo 0.5000 0.0000 0.5000  6 C 2.25
C 0.2418 0.0000 0.7251  1 Mo 2.25, 2 Ta 2.25, 3 U 2.41
C 0.2593 0.5000 0.2749  2 Mo 2.25, 1 Ta 2.25, 3 U 2.41-2.42
C 0.7407 0.5000 0.7251  2 Mo 2.25, 1 Ta 2.25, 3 U 2.41-2.42
C 0.7582 0.0000 0.2749  1 Mo 2.25, 2 Ta 2.25, 3 U 2.41

***

# 2
# ZrTa2MoC

A geometry-optimized ZrTa2MoC structure (GGA-PBE, the Alexandria database).

Results
Energy (eV/cell): -52.635
Total magnetic moment (μB per atom): 0.0000
SG: P4/mmm, No. 123
Energy of formation from the pure elements (eV/atom): -0.065

Cell lengths 4.2485, 4.2485, 4.6362 Å; angles 90.00, 90.00, 90.00 degrees
Last column: nearest neighbours and their distance in Å.
Fractional coordinates of all 5 atoms:
Zr 0.0000 0.0000 0.0000  2 C 2.32
Ta 0.0000 0.5000 0.5000  2 C 2.12
Ta 0.5000 0.0000 0.5000  2 C 2.12
Mo 0.5000 0.5000 0.0000  4 Zr 3.00, 8 Ta 3.14
C 0.0000 0.0000 0.5000  4 Ta 2.12, 2 Zr 2.32

***

# 3
# Tb2MoC2

A geometry-optimized Tb2MoC2 structure (GGA-PBE, the Alexandria database).

Results
Energy (eV/cell): -157.911
Excess energy over the best structure of this formula in the dataset (kcal/mol of atoms): 2.493
Total magnetic moment (μB per atom): 0.0000
SG: P2_1/c, No. 14
Energy of formation from the pure elements (eV/atom): -0.188

Cell lengths 8.4076, 6.4392, 6.0504 Å; angles 90.00, 99.45, 90.00 degrees
Last column: nearest neighbours and their distance in Å.
Fractional coordinates of all 20 atoms:
Tb 0.0455 0.2411 0.0240  3 C 2.47-2.67
Tb 0.0455 0.2589 0.5240  3 C 2.47-2.67
Tb 0.3217 0.6220 0.9065  5 C 2.50-2.70
Tb 0.3217 0.8780 0.4065  5 C 2.50-2.70
Tb 0.6783 0.1220 0.5935  5 C 2.50-2.70
Tb 0.6783 0.3780 0.0935  5 C 2.50-2.70
Tb 0.9545 0.7411 0.4760  3 C 2.47-2.67
Tb 0.9545 0.7589 0.9760  3 C 2.47-2.67
Mo 0.3787 0.1135 0.8654  4 C 2.08-2.18
Mo 0.3787 0.3865 0.3654  4 C 2.08-2.18
Mo 0.6213 0.6135 0.6346  4 C 2.08-2.18
Mo 0.6213 0.8865 0.1346  4 C 2.08-2.18
C 0.1531 0.5482 0.2423  1 Mo 2.18
C 0.1531 0.9518 0.7423  1 Mo 2.18
C 0.4761 0.1360 0.2172  3 Mo 2.08-2.16
C 0.4761 0.3640 0.7172  3 Mo 2.08-2.16
C 0.5239 0.6360 0.2828  3 Mo 2.08-2.16
C 0.5239 0.8640 0.7828  3 Mo 2.08-2.16
C 0.8469 0.0482 0.2577  1 Mo 2.18
C 0.8469 0.4518 0.7577  1 Mo 2.18

***

# 4
# Tb3MoC3

A geometry-optimized Tb3MoC3 structure (GGA-PBE, the Alexandria database).

Results
Energy (eV/cell): -108.977
Total magnetic moment (μB per atom): 0.0000
SG: Cmcm, No. 63
Energy of formation from the pure elements (eV/atom): -0.299

Cell lengths 6.9003, 6.9003, 5.1949 Å; angles 90.00, 90.00, 100.10 degrees
Last column: nearest neighbours and their distance in Å.
Fractional coordinates of all 14 atoms:
Tb 0.1101 0.8899 0.7500  5 C 2.47-2.60
Tb 0.1675 0.4011 0.7500  4 C 2.51-2.60
Tb 0.4011 0.1675 0.2500  4 C 2.51-2.60
Tb 0.5989 0.8325 0.7500  4 C 2.51-2.60
Tb 0.8325 0.5989 0.2500  4 C 2.51-2.60
Tb 0.8899 0.1101 0.2500  5 C 2.47-2.60
Mo 0.3092 0.6908 0.2500  3 C 1.97-1.98
Mo 0.6908 0.3092 0.7500  3 C 1.97-1.98
C 0.1235 0.8765 0.2500  1 Mo 1.97
C 0.1728 0.4133 0.2500  1 Mo 1.98
C 0.4133 0.1728 0.7500  1 Mo 1.98
C 0.5867 0.8272 0.2500  1 Mo 1.98
C 0.8272 0.5867 0.7500  1 Mo 1.98
C 0.8765 0.1235 0.7500  1 Mo 1.97

***

Look up the energy of the fourth one.
-108.977 eV/cell

***

Which of these has the highest energy of formation from the pure elements?
ZrTa2MoC